The following is a DFT calculation (GGA-PBE) of an optimized crystal structure of Ho2MnGa.

Computed properties:
uncorrected energy	-22.2	eV/f.u.
crystal system	tetragonal
size of the total moment	2.7	μB/f.u.
ρ	8.50	g cm⁻³
E above lowest polymorph	0	meV per atom
D(E_F)	3.68	states/eV/f.u.
ΔH_f (0 K)	-0.2047	eV per atom
symmetry	P4/mmm, No. 123

Cell: 3.525 3.525 7.143 Å, 90.00 90.00 90.00°
Fractional positions:
Ho (0.000, 0.000, 0.243)
Ho (0.000, 0.000, 0.757)
Mn (0.500, 0.500, 0.000)
Ga (0.500, 0.500, 0.500)